(1)
# LaTb5Tm7, optimized geometry, DFT PBE-GGA
data_LaTb5Tm7
_chemical_formula_sum 'La1 Tb5 Tm7'
_symmetry_space_group_name_H-M 'P 1'
_symmetry_Int_Tables_number 1
_symmetry_space_group_name_Hall 'P 1'
_cell_length_a 8.646
_cell_length_b 8.646
_cell_length_c 8.646
_cell_angle_alpha 134.73
_cell_angle_beta 100.59
_cell_angle_gamma 96.46
loop_
_atom_site_label
_atom_site_type_symbol
_atom_site_fract_x
_atom_site_fract_y
_atom_site_fract_z
La1 La 0.000 0.000 0.000
Tb1 Tb 0.435 0.438 0.464
Tb2 Tb 0.435 0.971 0.997
Tb3 Tb 0.702 0.202 0.500
Tb4 Tb 0.974 0.438 0.003
Tb5 Tb 0.974 0.971 0.536
Tm1 Tm 0.124 0.455 0.669
Tm2 Tm 0.207 0.707 0.500
Tm3 Tm 0.286 0.953 0.333
Tm4 Tm 0.393 0.393 0.000
Tm5 Tm 0.619 0.953 0.667
Tm6 Tm 0.697 0.697 0.000
Tm7 Tm 0.785 0.455 0.331
# * spin magnetization: 0.00 Bohr magnetons per cell
# * ΔH_f (0 K): 0.25 eV per atom
# * raw total energy: -56.13 eV per cell
# * D(E_F): 1.710 states/eV/atom

---

(2)
# Tc2Os, optimized geometry, DFT PBE-GGA
data_Tc2Os
_chemical_formula_sum 'Tc2 Os1'
_symmetry_space_group_name_H-M 'P 1'
_symmetry_Int_Tables_number 1
_symmetry_space_group_name_Hall 'P 1'
_cell_length_a 2.736
_cell_length_b 2.736
_cell_length_c 6.721
_cell_angle_alpha 90.00
_cell_angle_beta 90.00
_cell_angle_gamma 120.00
loop_
_atom_site_label
_atom_site_type_symbol
_atom_site_fract_x
_atom_site_fract_y
_atom_site_fract_z
Tc1 Tc 0.333 0.667 0.332
Tc2 Tc 0.667 0.333 0.668
Os1 Os 0.000 0.000 0.000
# * spin magnetization: 0.00 Bohr magnetons per cell
# * ΔH_f (0 K): 0.07 eV per atom
# * raw total energy: -31.74 eV per cell
# * D(E_F): 0.926 states/eV/atom

---

(3)
# LiCr2In, optimized geometry, DFT PBE-GGA
data_LiCr2In
_chemical_formula_sum 'Li1 Cr2 In1'
_symmetry_space_group_name_H-M 'P 1'
_symmetry_Int_Tables_number 1
_symmetry_space_group_name_Hall 'P 1'
_cell_length_a 4.818
_cell_length_b 4.818
_cell_length_c 4.751
_cell_angle_alpha 108.04
_cell_angle_beta 108.04
_cell_angle_gamma 36.80
loop_
_atom_site_label
_atom_site_type_symbol
_atom_site_fract_x
_atom_site_fract_y
_atom_site_fract_z
Li1 Li 0.000 0.000 0.000
Cr1 Cr 0.472 0.472 0.469
Cr2 Cr 0.762 0.762 0.315
In1 In 0.243 0.243 0.798
# * spin magnetization: 0.21 Bohr magnetons per cell
# * ΔH_f (0 K): 0.32 eV per atom
# * raw total energy: -22.61 eV per cell
# * D(E_F): 0.501 states/eV/atom